(1)
## HfBAu (PBE)

Data for crystalline HfBAu at its relaxed geometry.

Lattice parameters (Å, degrees): 3.0898 12.1247 5.1904 90.00 90.00 90.00
Space group Ima2 (No. 46)
Unique sites:
Hf 0.2500 0.1620 0.0000 (multiplicity 4)
B 0.2500 0.5273 0.6334 (multiplicity 4)
Au 0.2500 0.6308 0.0250 (multiplicity 4)

Computed properties:
For the total magnetic moment, the calculation gives 0.00 Bohr magnetons per cell. For the energy of formation from the pure elements, the calculation gives -323 meV per atom.



(2)
## PmSm8Ho4 (PBE)

Data for crystalline PmSm8Ho4 at its relaxed geometry.

Lattice parameters (Å, degrees): 7.3347 7.3347 27.8870 90.00 90.00 120.00
Space group R-3m (No. 166, hexagonal axes)
Unique sites:
Pm 0.0000 0.0000 0.0000 (multiplicity 3)
Sm 0.0000 0.0000 0.2835 (multiplicity 6)
Sm 0.0343 0.5172 0.2663 (multiplicity 18)
Ho 0.0000 0.0000 0.5000 (multiplicity 3)
Ho 0.0000 0.5000 0.5000 (multiplicity 9)

Computed properties:
For the total magnetic moment, the calculation gives 0.00 Bohr magnetons per cell. For the energy of formation from the pure elements, the calculation gives 185 meV per atom.



(3)
## HfScNi (PBE)

Data for crystalline HfScNi at its relaxed geometry.

Lattice parameters (Å, degrees): 3.2157 3.2157 10.6595 90.00 90.00 90.00
Space group I4mm (No. 107)
Unique sites:
Hf 0.0000 0.0000 0.0000 (multiplicity 2)
Sc 0.0000 0.0000 0.7044 (multiplicity 2)
Ni 0.0000 0.0000 0.3626 (multiplicity 2)

Computed properties:
For the total magnetic moment, the calculation gives 0.16 Bohr magnetons per cell. For the energy of formation from the pure elements, the calculation gives -248 meV per atom.



(4)
## Ca3Ce3SmSe8 (PBE)

Data for crystalline Ca3Ce3SmSe8 at its relaxed geometry.

Lattice parameters (Å, degrees): 8.4103 8.4103 20.7745 90.00 90.00 120.00
Space group R-3m (No. 166, hexagonal axes)
Unique sites:
Ca 0.0000 0.5000 0.0000 (multiplicity 9)
Ce 0.0000 0.5000 0.5000 (multiplicity 9)
Sm 0.0000 0.0000 0.5000 (multiplicity 3)
Se 0.0000 0.0000 0.2520 (multiplicity 6)
Se 0.0034 0.5017 0.2494 (multiplicity 18)

Computed properties:
For the total magnetic moment, the calculation gives 11.88 Bohr magnetons per cell. As for the uncorrected formation energy: -1.874 eV per atom.



(5)
## TaCuTe2N (PBE)

Data for crystalline TaCuTe2N at its relaxed geometry.

Lattice parameters (Å, degrees): 5.2390 5.2390 3.5057 90.00 90.00 90.00
Space group P4/mmm (No. 123)
Unique sites:
Ta 0.0000 0.0000 0.0000 (multiplicity 1)
Cu 0.5000 0.5000 0.5000 (multiplicity 1)
Te 0.0000 0.5000 0.5000 (multiplicity 2)
N 0.5000 0.5000 0.0000 (multiplicity 1)

Computed properties:
For the total magnetic moment, the calculation gives 0.00 Bohr magnetons per cell. As for the uncorrected formation energy: 1.016 eV per atom.



(6)
## Er4CdIr (PBE)

Data for crystalline Er4CdIr at its relaxed geometry.

Lattice parameters (Å, degrees): 4.8371 4.8371 7.3311 90.00 90.00 90.00
Space group P4/mmm (No. 123)
Unique sites:
Er 0.0000 0.5000 0.2215 (multiplicity 4)
Cd 0.0000 0.0000 0.5000 (multiplicity 1)
Ir 0.5000 0.5000 0.0000 (multiplicity 1)

Computed properties:
For the total magnetic moment, the calculation gives 0.00 Bohr magnetons per cell. For the energy of formation from the pure elements, the calculation gives -325 meV per atom.